The following is a DFT calculation (PBE-GGA) of an optimized crystal structure of MgRhBr2.

Geometry as extended XYZ:
```
4
Lattice="3.6955 0.0179 0.0000 -1.7171 3.2724 0.0000 0.0000 0.0000 7.4193" Properties=species:S:1:pos:R:3 pbc="T T T"
Mg 0.9892 1.6451 1.8548
Br 0.0000 0.0000 7.4087
Br 0.0000 0.0000 3.7202
Rh 0.9892 1.6451 5.5644
```

Summary:
* uncorrected formation energy: -34 meV per atom
* relative energy among the computed polymorphs: 0.444 eV per atom
* SG: No. 65



The following is a DFT calculation (PBE-GGA) of an optimized crystal structure of MgRhBr2.

Geometry as extended XYZ:
```
4
Lattice="3.4507 0.0000 0.0000 0.0000 5.9583 0.0000 0.0000 0.0000 4.1080" Properties=species:S:1:pos:R:3 pbc="T T T"
Br 0.0000 0.0000 0.0000
Rh 0.0000 2.9792 2.0540
Mg 1.7253 0.0000 2.0540
Br 1.7253 2.9792 0.0000
```

Summary:
* uncorrected formation energy: -96 meV per atom
* relative energy among the computed polymorphs: 0.382 eV per atom
* SG: No. 47



The following is a DFT calculation (PBE-GGA) of an optimized crystal structure of MgRhBr2.

Geometry as extended XYZ:
```
4
Lattice="-3.1805 3.6709 0.8151 -4.7330 -0.5172 -1.2599 -3.4425 -0.4543 3.4926" Properties=species:S:1:pos:R:3 pbc="T T T"
Br 0.0000 0.0000 0.0000
Rh -8.5170 2.0246 2.2859
Br -2.8390 0.6749 0.7620
Mg -5.6780 1.3497 1.5239
```

Summary:
* uncorrected formation energy: 277 meV per atom
* relative energy among the computed polymorphs: 0.756 eV per atom
* SG: No. 216



The following is a DFT calculation (PBE-GGA) of an optimized crystal structure of MgRhBr2.

Geometry as extended XYZ:
```
4
Lattice="3.5384 0.0000 0.0000 0.0000 3.5384 0.0000 0.0000 0.0000 7.4194" Properties=species:S:1:pos:R:3 pbc="T T T"
Mg 0.0000 0.0000 4.0333
Br 1.7692 1.7692 2.6007
Br 0.0000 0.0000 6.7616
Rh 1.7692 1.7692 5.1529
```

Summary:
* uncorrected formation energy: -338 meV per atom
* relative energy among the computed polymorphs: 0.140 eV per atom
* SG: No. 99



The following is a DFT calculation (PBE-GGA) of an optimized crystal structure of MgRh4Br.

Geometry as extended XYZ:
```
6
Lattice="0.0000 3.7171 3.7171 3.7171 0.0000 3.7171 3.7171 3.7171 0.0000" Properties=species:S:1:pos:R:3 pbc="T T T"
Rh 2.7885 2.7885 2.7885
Rh 4.6457 2.7885 4.6457
Rh 2.7885 4.6457 4.6457
Br 5.5756 5.5756 5.5756
Rh 4.6457 4.6457 2.7885
Mg 0.0000 0.0000 0.0000
```

Summary:
* uncorrected formation energy: 385 meV per atom
* SG: No. 216



The following is a DFT calculation (PBE-GGA) of an optimized crystal structure of Mg2ScRhBr.

Geometry as extended XYZ:
```
5
Lattice="4.8088 0.0000 0.0000 0.0000 4.9827 0.0000 0.0000 0.0000 4.8088" Properties=species:S:1:pos:R:3 pbc="T T T"
Br 0.0000 0.0000 0.0000
Rh 2.4044 2.4913 2.4044
Sc 0.0000 2.4913 0.0000
Mg 2.4044 0.0000 0.0000
Mg 0.0000 0.0000 2.4044
```

Summary:
* uncorrected formation energy: 432 meV per atom
* SG: No. 123



The following is a DFT calculation (PBE-GGA) of an optimized crystal structure of MgRhSe2Br.

Geometry as extended XYZ:
```
5
Lattice="4.9324 0.0000 0.0000 0.0000 4.9324 0.0000 0.0000 0.0000 5.0434" Properties=species:S:1:pos:R:3 pbc="T T T"
Se 2.4662 0.0000 0.0000
Rh 0.0000 0.0000 0.0000
Br 0.0000 0.0000 2.5217
Se 0.0000 2.4662 0.0000
Mg 2.4662 2.4662 2.5217
```

Summary:
* uncorrected formation energy: -31 meV per atom
* relative energy among the computed polymorphs: 0.000 eV per atom
* SG: No. 123



The following is a DFT calculation (PBE-GGA) of an optimized crystal structure of Mg2ZnRhBr.

Geometry as extended XYZ:
```
5
Lattice="-0.6889 4.3993 1.9753 -4.8412 -0.4250 -0.7418 -0.4931 -2.0492 4.3918" Properties=species:S:1:pos:R:3 pbc="T T T"
Br 0.0000 0.0000 0.0000
Rh -3.0116 0.9626 2.8127
Mg -0.2465 -1.0246 2.1959
Mg -0.3445 2.1997 0.9877
Zn -2.4206 -0.2125 -0.3709
```

Summary:
* uncorrected formation energy: 750 meV per atom
* SG: No. 123